1.
The following is a DFT calculation (meta-GGA SCAN) of Li2V4CrCuO12 at its PBEsol-relaxed geometry.

Values from the calculation:
final energy = -11.545 eV/atom
space-group type = C2 (5)

Cell lengths 6.699, 6.699, 5.568 Å; angles 107.13, 107.13, 76.63 degrees
Fractional positions:
Li 0.000 0.000 0.000
Li 0.555 0.445 0.500
V 0.096 0.346 0.538
V 0.450 0.108 0.980
V 0.654 0.904 0.462
V 0.892 0.550 0.020
Cr 0.199 0.801 0.500
Cu 0.385 0.615 0.000
O 0.079 0.718 0.124
O 0.164 0.080 0.450
O 0.270 0.525 0.576
O 0.282 0.921 0.876
O 0.288 0.337 0.920
O 0.475 0.730 0.424
O 0.563 0.140 0.316
O 0.640 0.047 0.804
O 0.663 0.712 0.080
O 0.860 0.437 0.684
O 0.920 0.836 0.550
O 0.953 0.360 0.196

2.
The following is a DFT calculation (meta-GGA SCAN) of MgCr3Cu at its PBEsol-relaxed geometry.

Values from the calculation:
space-group type = Pm-3m (221)
formation energy from the elements = 4.31 eV/f.u.

Cell lengths 4.615, 4.615, 4.615 Å; angles 90.00, 90.00, 90.00 degrees
Fractional positions:
Mg 0.000 0.000 0.000
Cr 0.000 0.500 0.500
Cr 0.500 0.000 0.500
Cr 0.500 0.500 0.000
Cu 0.500 0.500 0.500

3.
The following is a DFT calculation (meta-GGA SCAN) of Mg30CrCuO32 at its PBEsol-relaxed geometry.

Values from the calculation:
final energy = -8.890 eV/atom
space-group type = P4/mmm (123)

Cell lengths 8.429, 8.429, 8.461 Å; angles 90.00, 90.00, 90.00 degrees
Fractional positions:
Mg 0.000 0.000 0.000
Mg 0.000 0.000 0.500
Mg 0.000 0.250 0.249
Mg 0.000 0.250 0.751
Mg 0.000 0.500 0.000
Mg 0.000 0.500 0.500
Mg 0.000 0.750 0.249
Mg 0.000 0.750 0.751
Mg 0.250 0.000 0.249
Mg 0.250 0.000 0.751
Mg 0.250 0.250 0.500
Mg 0.250 0.750 0.500
Mg 0.252 0.252 0.000
Mg 0.252 0.500 0.246
Mg 0.252 0.500 0.754
Mg 0.252 0.748 0.000
Mg 0.500 0.000 0.000
Mg 0.500 0.000 0.500
Mg 0.500 0.252 0.246
Mg 0.500 0.252 0.754
Mg 0.500 0.748 0.246
Mg 0.500 0.748 0.754
Mg 0.748 0.252 0.000
Mg 0.748 0.500 0.246
Mg 0.748 0.500 0.754
Mg 0.748 0.748 0.000
Mg 0.750 0.000 0.249
Mg 0.750 0.000 0.751
Mg 0.750 0.250 0.500
Mg 0.750 0.750 0.500
Cr 0.500 0.500 0.500
Cu 0.500 0.500 0.000
O 0.000 0.000 0.251
O 0.000 0.000 0.749
O 0.000 0.249 0.000
O 0.000 0.251 0.500
O 0.000 0.500 0.254
O 0.000 0.500 0.746
O 0.000 0.749 0.500
O 0.000 0.751 0.000
O 0.240 0.500 0.000
O 0.249 0.000 0.000
O 0.251 0.000 0.500
O 0.251 0.251 0.251
O 0.251 0.251 0.749
O 0.251 0.749 0.251
O 0.251 0.749 0.749
O 0.257 0.500 0.500
O 0.500 0.000 0.254
O 0.500 0.000 0.746
O 0.500 0.240 0.000
O 0.500 0.257 0.500
O 0.500 0.500 0.267
O 0.500 0.500 0.733
O 0.500 0.743 0.500
O 0.500 0.760 0.000
O 0.743 0.500 0.500
O 0.749 0.000 0.500
O 0.749 0.251 0.251
O 0.749 0.251 0.749
O 0.749 0.749 0.251
O 0.749 0.749 0.749
O 0.751 0.000 0.000
O 0.760 0.500 0.000

4.
The following is a DFT calculation (meta-GGA SCAN) of Mg2CrCuPb at its PBEsol-relaxed geometry.

Values from the calculation:
space-group type = P4/mmm (123)
formation energy from the elements = 4.34 eV/f.u.

Cell lengths 5.277, 5.277, 5.218 Å; angles 90.00, 90.00, 90.00 degrees
Fractional positions:
Mg 0.000 0.500 0.000
Mg 0.500 0.000 0.000
Cr 0.000 0.000 0.500
Cu 0.500 0.500 0.500
Pb 0.000 0.000 0.000

Number 1: V 11.27 Å³/atom, total magnetic moment 5.00 μB/cell. Number 2: V 19.65 Å³/atom, total magnetic moment 13.15 μB/cell. Number 3: V 9.39 Å³/atom, total magnetic moment 3.06 μB/cell. Number 4: V 29.06 Å³/atom, total magnetic moment 4.81 μB/cell.